Entry 1:
ScBeCuB (GGA-PBE, optimized geometry); magnetization = 0.001 μB per cell; distance to the lowest polymorph of the same formula = 182.9 meV/atom
1.0
0.000 2.839 2.839
2.839 0.000 2.839
2.839 2.839 0.000
Cu Sc Be B
1 1 1 1
direct
0.000 0.000 0.000
0.750 0.750 0.750
0.500 0.500 0.500
0.250 0.250 0.250

---

Entry 2:
ScBeCuB (GGA-PBE, optimized geometry); magnetization = 0.000 μB per cell; distance to the lowest polymorph of the same formula = 0.0 meV/atom
1.0
-3.680 -1.427 0.667
-2.821 0.343 -2.819
-1.273 -3.248 -1.963
B Be Cu Sc
1 1 1 1
direct
0.250 0.250 0.250
0.750 0.750 0.750
0.000 0.000 0.000
0.500 0.500 0.500

---

Entry 3:
ScBeCuB (GGA-PBE, optimized geometry); magnetization = 0.000 μB per cell; distance to the lowest polymorph of the same formula = 14.1 meV/atom
1.0
3.899 -1.088 0.133
1.002 -3.914 0.280
1.684 -1.890 -3.161
Sc Be Cu B
1 1 1 1
direct
0.750 0.750 0.750
0.250 0.250 0.250
0.500 0.500 0.500
0.000 0.000 0.000

---

Entry 4:
BeCuBW (GGA-PBE, optimized geometry); magnetization = 1.367 μB per cell; distance to the lowest polymorph of the same formula = 596.8 meV/atom
1.0
0.000 2.804 2.804
2.804 0.000 2.804
2.804 2.804 0.000
W Cu B Be
1 1 1 1
direct
0.500 0.500 0.500
0.750 0.750 0.750
0.000 0.000 0.000
0.250 0.250 0.250

---

Entry 5:
BeCuBW (GGA-PBE, optimized geometry); magnetization = 0.003 μB per cell; distance to the lowest polymorph of the same formula = 0.0 meV/atom
1.0
0.000 2.749 2.749
2.749 0.000 2.749
2.749 2.749 0.000
Be B W Cu
1 1 1 1
direct
0.500 0.500 0.500
0.000 0.000 0.000
0.250 0.250 0.250
0.750 0.750 0.750

---

Entry 6:
YBeCuB (GGA-PBE, optimized geometry); magnetization = 0.001 μB per cell; distance to the lowest polymorph of the same formula = 0.0 meV/atom
1.0
-2.703 1.634 2.798
-2.157 3.501 -0.947
-4.154 -0.209 -0.710
B Cu Be Y
1 1 1 1
direct
0.000 0.000 0.000
0.750 0.750 0.750
0.500 0.500 0.500
0.250 0.250 0.250

---

Entry 7:
YBeCuB (GGA-PBE, optimized geometry); magnetization = 0.000 μB per cell; distance to the lowest polymorph of the same formula = 194.1 meV/atom
1.0
-0.542 -4.189 -0.048
-2.822 -1.794 2.581
-3.554 -1.652 -1.577
B Cu Be Y
1 1 1 1
direct
0.000 0.000 0.000
0.250 0.250 0.250
0.750 0.750 0.750
0.500 0.500 0.500

---

Entry 8:
BeZnCuB (GGA-PBE, optimized geometry); distance to the lowest polymorph of the same formula = 50.3 meV/atom
1.0
2.241 -1.988 2.437
0.895 1.487 3.450
-1.514 -1.522 3.211
Be B Cu Zn
1 1 1 1
direct
0.750 0.750 0.750
0.000 0.000 0.000
0.500 0.500 0.500
0.250 0.250 0.250